DFT (PBE-GGA) results for Ni4AsCl after structural relaxation.

Computed properties:
energy: -4.4900 eV/atom
space-group type: F-43m, No. 216

a b c (Å): 4.862 4.862 4.862
angles (deg): 60.00 60.00 60.00
Atoms (fractional coordinates):
Ni 0.124 0.124 0.124
Ni 0.124 0.124 0.629
Ni 0.124 0.629 0.124
Ni 0.629 0.124 0.124
As 0.750 0.750 0.750
Cl 0.500 0.500 0.500

***

DFT (PBE-GGA) results for Ni2AsCl after structural relaxation.

Computed properties:
energy: -4.2602 eV/atom
space-group type: Pmmm, No. 47

a b c (Å): 2.950 3.636 6.380
angles (deg): 90.00 90.00 90.00
Atoms (fractional coordinates):
Ni 0.000 0.000 0.000
Ni 0.500 0.000 0.500
As 0.000 0.500 0.500
Cl 0.500 0.500 0.000

***

DFT (PBE-GGA) results for Ni2AsCl after structural relaxation.

Computed properties:
energy: -4.7217 eV/atom
space-group type: Cm, No. 8

a b c (Å): 6.359 6.359 3.331
angles (deg): 105.15 105.15 30.94
Atoms (fractional coordinates):
Ni 0.000 0.000 0.000
Ni 0.173 0.173 0.673
As 0.634 0.634 0.134
Cl 0.367 0.367 0.872

***

DFT (PBE-GGA) results for Ni2AsCl after structural relaxation.

Computed properties:
energy: -4.4350 eV/atom
space-group type: Cmmm, No. 65

a b c (Å): 3.229 3.229 6.965
angles (deg): 90.00 90.00 119.37
Atoms (fractional coordinates):
Ni 0.000 0.000 0.231
Ni 0.000 0.000 0.769
As 0.500 0.500 0.000
Cl 0.500 0.500 0.500

***

- The lowest energy belongs to which entry?
  number 3

***

Copy entry 2 word for word.
DFT (PBE-GGA) results for Ni2AsCl after structural relaxation.

Computed properties:
energy: -4.2602 eV/atom
space-group type: Pmmm, No. 47

a b c (Å): 2.950 3.636 6.380
angles (deg): 90.00 90.00 90.00
Atoms (fractional coordinates):
Ni 0.000 0.000 0.000
Ni 0.500 0.000 0.500
As 0.000 0.500 0.500
Cl 0.500 0.500 0.000

***

- Look up the energy of the third one.
  -4.7217 eV/atom